DFT (PBE) results for SmScInCu after structural relaxation.

Unit cell a=5.077 b=5.077 c=5.077 alpha=60.00 beta=60.00 gamma=60.00
Positions (direct):
Sm (0.000, 0.000, 0.000)
Sc (0.500, 0.500, 0.500)
In (0.750, 0.750, 0.750)
Cu (0.250, 0.250, 0.250)

Results
- Spin magnetization: 0.00 μB/f.u.
- Energy relative to the elements: -0.27 eV per atom
- Space group: F-43m
- Fermi-level density of states: 3.8 states/eV/f.u.


DFT (PBE) results for SrNiH8Ir2 after structural relaxation.

Unit cell a=6.510 b=6.510 c=6.510 alpha=41.66 beta=41.66 gamma=41.66
Positions (direct):
Sr (0.000, 0.000, 0.000)
Ni (0.500, 0.500, 0.500)
H (0.152, 0.437, 0.739)
H (0.261, 0.848, 0.563)
H (0.300, 0.300, 0.300)
H (0.437, 0.739, 0.152)
H (0.563, 0.261, 0.848)
H (0.700, 0.700, 0.700)
H (0.739, 0.152, 0.437)
H (0.848, 0.563, 0.261)
Ir (0.209, 0.209, 0.209)
Ir (0.791, 0.791, 0.791)

Results
- DFT total energy: -4.492 eV/atom
- Spin magnetization: 0.00 μB/f.u.
- Space group: R-3
- Fermi-level density of states: 3.3 states/eV/f.u.


DFT (PBE) results for DySn3Pd after structural relaxation.

Unit cell a=4.610 b=6.615 c=8.279 alpha=90.00 beta=90.00 gamma=90.00
Positions (direct):
Dy (0.250, 0.250, 0.234)
Dy (0.750, 0.750, 0.766)
Sn (0.250, 0.022, 0.642)
Sn (0.250, 0.478, 0.642)
Sn (0.250, 0.750, 0.037)
Sn (0.750, 0.250, 0.963)
Sn (0.750, 0.522, 0.358)
Sn (0.750, 0.978, 0.358)
Pd (0.250, 0.750, 0.366)
Pd (0.750, 0.250, 0.634)

Results
- Spin magnetization: 0.00 μB/f.u.
- Energy relative to the elements: -0.42 eV per atom
- Space group: Pmmn
- Fermi-level density of states: 3.0 states/eV/f.u.


DFT (PBE) results for Cs2Cd4InPb3 after structural relaxation.

Unit cell a=5.167 b=5.167 c=12.891 alpha=90.00 beta=90.00 gamma=90.00
Positions (direct):
Cs (0.000, 0.500, 0.246)
Cs (0.500, 0.000, 0.754)
Cd (0.000, 0.000, 0.000)
Cd (0.000, 0.500, 0.633)
Cd (0.500, 0.000, 0.367)
Cd (0.500, 0.500, 0.000)
In (0.000, 0.000, 0.500)
Pb (0.000, 0.500, 0.871)
Pb (0.500, 0.000, 0.129)
Pb (0.500, 0.500, 0.500)

Results
- Spin magnetization: 0.00 μB/f.u.
- Energy relative to the elements: -0.08 eV per atom
- Space group: P-4m2
- Fermi-level density of states: 5.2 states/eV/f.u.


DFT (PBE) results for KYCrCl6 after structural relaxation.

Unit cell a=6.735 b=6.735 c=13.967 alpha=90.00 beta=90.00 gamma=120.00
Positions (direct):
K (0.000, 0.000, 0.000)
K (0.000, 0.000, 0.500)
Y (0.333, 0.667, 0.250)
Y (0.667, 0.333, 0.750)
Cr (0.333, 0.667, 0.750)
Cr (0.667, 0.333, 0.250)
Cl (0.015, 0.377, 0.644)
Cl (0.015, 0.638, 0.856)
Cl (0.362, 0.377, 0.856)
Cl (0.362, 0.985, 0.644)
Cl (0.377, 0.015, 0.144)
Cl (0.377, 0.362, 0.356)
Cl (0.623, 0.638, 0.644)
Cl (0.623, 0.985, 0.856)
Cl (0.638, 0.015, 0.356)
Cl (0.638, 0.623, 0.144)
Cl (0.985, 0.362, 0.144)
Cl (0.985, 0.623, 0.356)

Results
- Spin magnetization: 4.00 μB/f.u.
- Energy relative to the elements, uncorrected: -1766.4 meV per atom
- Space group: P-31c
- Fermi-level density of states: 7.2 states/eV/f.u.


DFT (PBE) results for La2PrSmTl2 after structural relaxation.

Unit cell a=5.256 b=10.488 c=6.968 alpha=90.00 beta=90.00 gamma=90.00
Positions (direct):
La (0.000, 0.059, 0.000)
La (0.000, 0.941, 0.500)
La (0.500, 0.178, 0.225)
La (0.500, 0.822, 0.725)
Pr (0.500, 0.456, 0.866)
Pr (0.500, 0.544, 0.366)
Sm (0.000, 0.306, 0.590)
Sm (0.000, 0.694, 0.090)
Tl (0.000, 0.380, 0.131)
Tl (0.000, 0.620, 0.631)
Tl (0.500, 0.142, 0.709)
Tl (0.500, 0.858, 0.209)

Results
- Spin magnetization: 0.00 μB/f.u.
- Energy relative to the elements: -0.29 eV per atom
- Space group: Pmc2_1
- Fermi-level density of states: 7.3 states/eV/f.u.


DFT (PBE) results for MgRe2W after structural relaxation.

Unit cell a=2.696 b=4.427 c=5.306 alpha=90.00 beta=99.26 gamma=90.00
Positions (direct):
Mg (0.000, 0.000, 0.000)
Re (0.290, 0.500, 0.757)
Re (0.710, 0.500, 0.243)
W (0.500, 0.000, 0.500)

Results
- Spin magnetization: 0.00 μB/f.u.
- Energy relative to the elements: 0.20 eV per atom
- Space group: P2/m
- Fermi-level density of states: 2.6 states/eV/f.u.


DFT (PBE) results for CdSn5 after structural relaxation.

Unit cell a=8.807 b=8.807 c=3.378 alpha=90.00 beta=90.00 gamma=141.74
Positions (direct):
Cd (0.000, 0.000, 0.000)
Sn (0.161, 0.839, 0.500)
Sn (0.329, 0.671, 0.000)
Sn (0.500, 0.500, 0.500)
Sn (0.671, 0.329, 0.000)
Sn (0.839, 0.161, 0.500)

Results
- Spin magnetization: 0.00 μB/f.u.
- Energy relative to the elements: 0.08 eV per atom
- Space group: Cmmm
- ΔE to the lowest computed polymorph: 18.8 meV per atom
- Fermi-level density of states: 4.1 states/eV/f.u.


DFT (PBE) results for CuAg3S2 after structural relaxation.

Unit cell a=7.731 b=7.731 c=7.731 alpha=143.66 beta=72.26 gamma=119.94
Positions (direct):
Cu (0.000, 0.000, 0.000)
Cu (0.500, 0.500, 0.000)
Ag (0.078, 0.250, 0.828)
Ag (0.250, 0.750, 0.500)
Ag (0.422, 0.250, 0.172)
Ag (0.578, 0.750, 0.828)
Ag (0.750, 0.250, 0.500)
Ag (0.922, 0.750, 0.172)
S (0.133, 0.697, 0.831)
S (0.367, 0.197, 0.564)
S (0.633, 0.803, 0.436)
S (0.867, 0.303, 0.169)

Results
- Spin magnetization: 0.00 μB/f.u.
- Energy relative to the elements, uncorrected: -49.5 meV per atom
- Space group: Ibam


DFT (PBE) results for CsS after structural relaxation.

Unit cell a=5.610 b=5.610 c=5.610 alpha=60.00 beta=60.00 gamma=60.00
Positions (direct):
Cs (0.000, 0.000, 0.000)
S (0.250, 0.250, 0.250)

Results
- Spin magnetization: 1.00 μB/f.u.
- Energy relative to the elements, uncorrected: -246.5 meV per atom
- Space group: F-43m
- Fermi-level density of states: 7.5 states/eV/f.u.


DFT (PBE) results for AcPaSnO6 after structural relaxation.

Unit cell a=5.211 b=5.211 c=10.653 alpha=90.00 beta=90.00 gamma=90.00
Positions (direct):
Ac (0.000, 0.000, 0.000)
Ac (0.500, 0.500, 0.500)
Pa (0.000, 0.000, 0.666)
Pa (0.500, 0.500, 0.166)
Sn (0.000, 0.000, 0.330)
Sn (0.500, 0.500, 0.830)
O (0.171, 0.171, 0.491)
O (0.204, 0.204, 0.188)
O (0.211, 0.211, 0.809)
O (0.289, 0.711, 0.309)
O (0.296, 0.704, 0.688)
O (0.329, 0.671, 0.991)
O (0.671, 0.329, 0.991)
O (0.704, 0.296, 0.688)
O (0.711, 0.289, 0.309)
O (0.789, 0.789, 0.809)
O (0.796, 0.796, 0.188)
O (0.829, 0.829, 0.491)

Results
- Spin magnetization: 0.00 μB/f.u.
- Energy relative to the elements, uncorrected: -2828.9 meV per atom
- Space group: P4_2nm
- Fermi-level density of states: 0.0 states/eV/f.u.


DFT (PBE) results for CePu2O7 after structural relaxation.

Unit cell a=10.654 b=10.654 c=10.654 alpha=20.65 beta=20.65 gamma=20.65
Positions (direct):
Ce (0.000, 0.000, 0.000)
Pu (0.434, 0.434, 0.434)
Pu (0.566, 0.566, 0.566)
O (0.076, 0.076, 0.076)
O (0.219, 0.219, 0.219)
O (0.360, 0.360, 0.360)
O (0.500, 0.500, 0.500)
O (0.640, 0.640, 0.640)
O (0.781, 0.781, 0.781)
O (0.924, 0.924, 0.924)

Results
- Spin magnetization: 6.00 μB/f.u.
- Energy relative to the elements, uncorrected: -2900.8 meV per atom
- Space group: R-3m
- Fermi-level density of states: 9.0 states/eV/f.u.


Q: Among the records above, which one has the highest spin magnetization?
A: CePu2O7